Material: NaPH4O5
Method: DFT, PBE-GGA
State: optimized geometry

Lattice parameters (Å, degrees): 7.569 7.660 7.861 90.00 90.00 90.00
Fractional positions:
H 0.227 0.277 0.910
H 0.842 0.715 0.838
H 0.965 0.553 0.100
H 0.711 0.307 0.232
H 0.211 0.693 0.768
H 0.211 0.193 0.732
H 0.342 0.785 0.338
H 0.465 0.447 0.900
H 0.465 0.947 0.600
H 0.727 0.223 0.410
H 0.842 0.215 0.662
H 0.227 0.777 0.590
H 0.727 0.723 0.090
H 0.342 0.285 0.162
H 0.711 0.807 0.268
H 0.965 0.053 0.400
O 0.056 0.571 0.195
O 0.828 0.548 0.953
O 0.556 0.929 0.695
O 0.711 0.337 0.354
O 0.211 0.663 0.646
O 0.556 0.429 0.805
O 0.328 0.452 0.047
O 0.237 0.272 0.502
O 0.237 0.772 0.998
O 0.711 0.837 0.146
O 0.856 0.837 0.787
O 0.856 0.337 0.713
O 0.211 0.163 0.854
O 0.737 0.728 0.498
O 0.356 0.663 0.287
O 0.737 0.228 0.002
O 0.328 0.952 0.453
O 0.356 0.163 0.213
O 0.828 0.048 0.547
O 0.056 0.071 0.305
Na 0.480 0.995 0.984
Na 0.480 0.495 0.516
Na 0.980 0.005 0.016
Na 0.980 0.505 0.484
P 0.246 0.120 0.380
P 0.246 0.620 0.120
P 0.746 0.380 0.880
P 0.746 0.880 0.620

- DFT total energy: -5.686 eV/atom
- DOS at the Fermi energy: 0.000 states/eV per cell
- Density: 2.01 g/cm3